No. 1
Sc3ZnOs: optimized geometry, PBE-GGA.

Cell lengths 5.019, 5.019, 5.019 Å; angles 90.00, 90.00, 90.00 degrees
Fractional positions:
Sc (0.000, 0.000, 0.500)
Sc (0.000, 0.500, 0.000)
Sc (0.500, 0.000, 0.000)
Zn (0.500, 0.500, 0.500)
Os (0.000, 0.000, 0.000)

Results
M_tot = 0.00 μB/cell
Total DFT energy (no corrections) = -31.1 eV per formula unit
Calculated density = 5.13 g/cm3
Symmetry = Pm-3m, No. 221

---

No. 2
Sc4ZnOs2: optimized geometry, PBE-GGA.

Cell lengths 4.548, 4.548, 6.483 Å; angles 90.00, 90.00, 90.00 degrees
Fractional positions:
Sc (0.000, 0.500, 0.244)
Sc (0.000, 0.500, 0.756)
Sc (0.500, 0.000, 0.244)
Sc (0.500, 0.000, 0.756)
Zn (0.000, 0.000, 0.500)
Os (0.000, 0.000, 0.000)
Os (0.500, 0.500, 0.500)

Results
M_tot = 0.00 μB/cell
Total DFT energy (no corrections) = -51.6 eV per formula unit
Calculated density = 7.75 g/cm3
Symmetry = P4/mmm, No. 123

---

No. 3
ScZn2Os2: optimized geometry, PBE-GGA.

Cell lengths 6.248, 6.248, 6.248 Å; angles 143.15, 143.15, 53.09 degrees
Fractional positions:
Sc (0.000, 0.000, 0.000)
Zn (0.250, 0.750, 0.500)
Zn (0.750, 0.250, 0.500)
Os (0.396, 0.396, 0.000)
Os (0.604, 0.604, 0.000)

Results
M_tot = 0.52 μB/cell
Total DFT energy (no corrections) = -30.2 eV per formula unit
Calculated density = 10.60 g/cm3
Symmetry = I4/mmm, No. 139